## Tb5Zn2Hg (PBE-GGA)

Data for a relaxed structure of Tb5Zn2Hg.

Results
For the energy of formation, the calculation gives -0.268 eV/atom. Its density is 8.9 g cm⁻³.

```
Tb5Zn2Hg
1.0
-3.769 -7.131 -1.662
6.218 -4.104 3.508
-4.122 5.880 4.520
Tb Hg Zn
10 2 4
Direct
0.299 0.799 0.293 Tb
0.494 0.299 0.293 Tb
0.500 0.500 0.000 Tb
0.994 0.494 0.293 Tb
0.000 0.000 0.000 Tb
0.006 0.506 0.707 Tb
0.506 0.701 0.707 Tb
0.701 0.201 0.707 Tb
0.201 0.006 0.707 Tb
0.799 0.994 0.293 Tb
0.750 0.750 0.500 Hg
0.250 0.250 0.500 Hg
0.141 0.359 0.000 Zn
0.359 0.859 0.000 Zn
0.859 0.641 0.000 Zn
0.641 0.141 0.000 Zn
```



## Tb5Zn2Hg2 (PBE-GGA)

Data for a relaxed structure of Tb5Zn2Hg2.

Results
For the energy of formation, the calculation gives -0.325 eV/atom. Its density is 9.3 g cm⁻³.

```
Tb5Zn2Hg2
1.0
7.510 0.000 0.000
0.000 7.446 0.000
0.000 -3.723 8.475
Zn Tb Hg
4 10 4
Direct
0.878 0.382 0.000 Zn
0.122 0.618 0.000 Zn
0.622 0.882 0.000 Zn
0.378 0.118 0.000 Zn
0.324 0.685 0.732 Tb
0.500 0.500 0.000 Tb
0.676 0.315 0.268 Tb
0.176 0.185 0.732 Tb
0.000 0.000 0.000 Tb
0.824 0.547 0.732 Tb
0.176 0.453 0.268 Tb
0.824 0.815 0.268 Tb
0.676 0.047 0.732 Tb
0.324 0.953 0.268 Tb
0.500 0.280 0.561 Hg
0.500 0.720 0.439 Hg
0.000 0.220 0.439 Hg
0.000 0.780 0.561 Hg
```



## Tb2ZnHg8 (PBE-GGA)

Data for a relaxed structure of Tb2ZnHg8.

Results
For the energy of formation, the calculation gives -0.241 eV/atom. Its density is 12.4 g cm⁻³.

```
Tb2ZnHg8
1.0
4.624 0.000 0.000
0.000 4.624 0.000
0.000 0.000 12.432
Hg Tb Zn
8 2 1
Direct
0.000 0.500 0.500 Hg
0.000 0.500 0.871 Hg
0.500 0.000 0.871 Hg
0.500 0.500 0.313 Hg
0.500 0.000 0.129 Hg
0.500 0.000 0.500 Hg
0.000 0.500 0.129 Hg
0.500 0.500 0.687 Hg
0.000 0.000 0.693 Tb
0.000 0.000 0.307 Tb
0.000 0.000 0.000 Zn
```